{
  "formula": "Sm3Cd2Ag7",
  "functional": "PBE",
  "state": "relaxed",
  "cell": [[5.312, 0.000, 0.000], [0.000, 4.954, 0.000], [0.000, -2.477, 10.647]],
  "species": ["Sm", "Sm", "Sm", "Cd", "Cd", "Ag", "Ag", "Ag", "Ag", "Ag", "Ag", "Ag"],
  "fractional_positions": [[0.500, 0.500, 0.000], [0.500, 0.669, 0.337], [0.500, 0.331, 0.663], [0.000, 0.858, 0.715], [0.000, 0.142, 0.285], [0.000, 0.424, 0.847], [0.000, 0.725, 0.450], [0.000, 0.000, 0.000], [0.000, 0.576, 0.153], [0.500, 0.083, 0.165], [0.500, 0.917, 0.835], [0.000, 0.275, 0.550]],
  "formation_enthalpy_0k_kj_per_mol_fu": -49,
  "vol_a3_per_cell": 280
}